Record 1
BaSrCa2 | PBE | optimized geometry

Geometry as POSCAR:
```
BaSrCa2
1.0
6.657 0.000 0.000
0.000 4.006 -0.047
0.000 1.069 7.417
Ca Sr Ba
2 1 1
Direct
0.500 0.199 0.257 Ca
0.000 0.055 0.995 Ca
0.000 0.521 0.481 Sr
0.500 0.725 0.766 Ba
```

Summary:
**DFT formation energy**: 0.03 eV/atom

Record 2
Ba8Sr2Ca | PBE | optimized geometry

Geometry as POSCAR:
```
Ba8Sr2Ca
1.0
6.716 0.000 -1.789
-0.298 8.083 -1.118
-0.425 1.575 11.908
Ba Sr Ca
8 2 1
Direct
0.590 0.444 0.180 Ba
0.321 0.089 0.641 Ba
0.679 0.911 0.359 Ba
0.138 0.184 0.275 Ba
0.862 0.816 0.725 Ba
0.955 0.266 0.910 Ba
0.045 0.734 0.090 Ba
0.410 0.556 0.820 Ba
0.772 0.365 0.544 Sr
0.228 0.635 0.456 Sr
0.500 0.000 0.000 Ca
```

Summary:
**DFT formation energy**: 0.01 eV/atom

Record 3
Ba5Sr2Ca12 | PBE | optimized geometry

Geometry as POSCAR:
```
Ba5Sr2Ca12
1.0
-3.276 -2.363 -5.782
6.432 -9.958 -2.096
-5.369 -9.781 4.520
Ca Sr Ba
12 2 5
Direct
0.590 0.150 0.646 Ca
0.198 0.041 0.557 Ca
0.802 0.959 0.443 Ca
0.198 0.557 0.041 Ca
0.970 0.111 0.111 Ca
0.590 0.646 0.150 Ca
0.705 0.553 0.553 Ca
0.410 0.850 0.354 Ca
0.030 0.889 0.889 Ca
0.295 0.447 0.447 Ca
0.802 0.443 0.959 Ca
0.410 0.354 0.850 Ca
0.000 0.753 0.247 Sr
0.000 0.247 0.753 Sr
0.422 0.223 0.223 Ba
0.136 0.663 0.663 Ba
0.864 0.337 0.337 Ba
0.500 0.000 0.000 Ba
0.578 0.777 0.777 Ba
```

Summary:
**DFT formation energy**: 0.06 eV/atom

Record 4
Ba2Sr4Ca5 | PBE | optimized geometry

Geometry as POSCAR:
```
Ba2Sr4Ca5
1.0
-4.881 -5.441 -2.356
1.412 -4.075 -6.031
3.905 -11.677 6.360
Ca Ba Sr
5 2 4
Direct
0.500 0.500 0.000 Ca
0.000 0.500 0.000 Ca
0.250 0.500 0.500 Ca
0.750 0.500 0.500 Ca
0.500 0.000 0.000 Ca
0.092 0.000 0.816 Ba
0.908 0.000 0.184 Ba
0.207 0.334 0.251 Sr
0.541 0.666 0.251 Sr
0.793 0.666 0.749 Sr
0.459 0.334 0.749 Sr
```

Summary:
**DFT formation energy**: 0.18 eV/atom

Record 5
Ba12SrCa6 | PBE | optimized geometry

Geometry as POSCAR:
```
Ba12SrCa6
1.0
-3.285 -5.593 -8.015
9.144 -4.698 -0.784
-3.090 -7.595 6.251
Ca Ba Sr
6 12 1
Direct
0.106 0.738 0.260 Ca
0.740 0.894 0.262 Ca
0.894 0.262 0.740 Ca
0.260 0.106 0.738 Ca
0.738 0.260 0.106 Ca
0.262 0.740 0.894 Ca
0.801 0.531 0.436 Ba
0.154 0.376 0.031 Ba
0.199 0.469 0.564 Ba
0.376 0.031 0.154 Ba
0.531 0.436 0.801 Ba
0.564 0.199 0.469 Ba
0.624 0.969 0.846 Ba
0.969 0.846 0.624 Ba
0.436 0.801 0.531 Ba
0.846 0.624 0.969 Ba
0.469 0.564 0.199 Ba
0.031 0.154 0.376 Ba
0.000 0.000 0.000 Sr
```

Summary:
**DFT formation energy**: 0.06 eV/atom

Record 6
Ba2Sr7Ca2 | PBE | optimized geometry

Geometry as POSCAR:
```
Ba2Sr7Ca2
1.0
-6.099 -4.136 0.469
-2.412 -0.577 9.304
-7.558 5.794 -1.425
Sr Ca Ba
7 2 2
Direct
0.838 0.413 0.922 Sr
0.838 0.922 0.413 Sr
0.162 0.587 0.078 Sr
0.450 0.259 0.259 Sr
0.550 0.741 0.741 Sr
0.000 0.000 0.000 Sr
0.162 0.078 0.587 Sr
0.177 0.590 0.590 Ca
0.823 0.410 0.410 Ca
0.500 0.212 0.788 Ba
0.500 0.788 0.212 Ba
```

Summary:
**DFT formation energy**: 0.11 eV/atom

Number 1: total energy -1.87 eV/atom, volume 198 Å³/cell. Number 2: total energy -1.87 eV/atom, volume 653 Å³/cell. Number 3: total energy -1.88 eV/atom, volume 930 Å³/cell. Number 4: total energy -1.69 eV/atom, volume 649 Å³/cell. Number 5: total energy -1.88 eV/atom, volume 1095 Å³/cell. Number 6: total energy -1.67 eV/atom, volume 620 Å³/cell.